Record 1
Compound: DyEr5Al4
Source: the Alexandria database
Functional: PBE
Structure: optimized geometry

Unit cell a=3.5420 b=3.5420 c=19.5185 alpha=90.00 beta=90.00 gamma=90.00
Fractional coordinates of all 10 atoms:
Al 0.0000 0.0000 0.7784
Er 0.5000 0.5000 0.3149
Al 0.0000 0.0000 0.2216
Al 0.0000 0.0000 0.5927
Er 0.5000 0.5000 0.5000
Dy 0.0000 0.0000 0.0000
Er 0.5000 0.5000 0.6851
Er 0.5000 0.5000 0.8717
Er 0.5000 0.5000 0.1283
Al 0.0000 0.0000 0.4073

Record 2
Compound: DyEr12Al3
Source: the Alexandria database
Functional: PBE
Structure: optimized geometry

Unit cell a=4.7532 b=4.7529 c=19.3412 alpha=90.00 beta=90.00 gamma=90.00
Fractional coordinates of all 16 atoms:
Er 0.5000 0.0000 0.3783
Er 0.5000 0.5000 0.5000
Er 0.5000 0.0000 0.1342
Er 0.0000 0.5000 0.1342
Al 0.0000 0.0000 0.2579
Er 0.5000 0.0000 0.8658
Er 0.5000 0.5000 0.2573
Er 0.0000 0.5000 0.3783
Dy 0.0000 0.0000 0.0000
Al 0.0000 0.0000 0.7421
Al 0.0000 0.0000 0.5000
Er 0.0000 0.5000 0.8658
Er 0.5000 0.5000 0.0000
Er 0.0000 0.5000 0.6217
Er 0.5000 0.0000 0.6217
Er 0.5000 0.5000 0.7427

Record 3
Compound: Dy2Er3Al2
Source: the Alexandria database
Functional: PBE
Structure: optimized geometry

Unit cell a=12.0672 b=12.0672 c=3.3406 alpha=90.00 beta=90.00 gamma=157.92
Fractional coordinates of all 7 atoms:
Al 0.4325 0.5675 0.5000
Er 0.8658 0.1342 0.0000
Dy 0.7099 0.2901 0.5000
Al 0.5675 0.4325 0.5000
Er 0.1342 0.8658 0.0000
Dy 0.2901 0.7099 0.5000
Er 0.0000 0.0000 0.0000

**Distance to the lowest polymorph of the same formula**: 147 meV per atom

Record 4
Compound: DyErAl
Source: the Alexandria database
Functional: PBE
Structure: optimized geometry

Unit cell a=3.4269 b=3.4269 c=7.1028 alpha=103.96 beta=103.96 gamma=90.00
Fractional coordinates of all 3 atoms:
Al 0.9492 0.9492 0.8983
Er 0.3013 0.3013 0.6027
Dy 0.5995 0.5995 0.1990

**Distance to the lowest polymorph of the same formula**: 0 meV per atom

Record 5
Compound: Dy2Er5Al4
Source: the Alexandria database
Functional: PBE
Structure: optimized geometry

Unit cell a=3.3821 b=8.0385 c=15.1838 alpha=105.35 beta=96.39 gamma=90.00
Fractional coordinates of all 11 atoms:
Er 0.5000 0.0000 0.0000
Al 0.7086 0.7086 0.4172
Er 0.2011 0.9978 0.4023
Er 0.7989 0.5955 0.5977
Er 0.7989 0.0022 0.5977
Al 0.2914 0.2914 0.5828
Al 0.0000 0.3232 0.0000
Al 0.0000 0.6768 0.0000
Er 0.2011 0.4045 0.4023
Dy 0.9065 0.9065 0.8130
Dy 0.0935 0.0935 0.1870

Record 6
Compound: Dy5Er2Al4
Source: the Alexandria database
Functional: PBE
Structure: optimized geometry

Unit cell a=3.2933 b=7.1116 c=14.2221 alpha=104.48 beta=96.65 gamma=90.00
Site moments in Bohr magnetons follow the coordinates.
Fractional coordinates of all 11 atoms:
Al 0.6779 0.6779 0.3559  0.00
Al 0.3221 0.3221 0.6441  0.00
Dy 0.1074 0.3530 0.2147  0.01
Dy 0.8926 0.1383 0.7853  0.01
Dy 0.8926 0.6470 0.7853  0.01
Dy 0.5000 0.0000 0.0000  0.01
Er 0.7854 0.7854 0.5707  0.18
Er 0.2146 0.2146 0.4293  0.18
Al 0.0000 0.3312 0.0000  0.00
Al 0.0000 0.6688 0.0000  0.00
Dy 0.1074 0.8617 0.2147  0.01

Record 7
Compound: Dy2Er2Al
Source: the Alexandria database
Functional: PBE
Structure: optimized geometry

Unit cell a=4.9333 b=4.9333 c=8.9396 alpha=73.98 beta=73.98 gamma=60.00
Fractional coordinates of all 5 atoms:
Al 0.0000 0.0000 0.0000
Dy 0.4329 0.4329 0.7013
Er 0.3009 0.3009 0.0974
Er 0.6991 0.6991 0.9026
Dy 0.5671 0.5671 0.2987

**Distance to the lowest polymorph of the same formula**: 621 meV per atom

Record 8
Compound: Dy7Er12Al
Source: the Alexandria database
Functional: PBE
Structure: optimized geometry

Unit cell a=8.5516 b=8.5516 c=8.5516 alpha=87.29 beta=87.29 gamma=87.29
Fractional coordinates of all 20 atoms:
Er 0.5023 0.6135 0.1407
Er 0.1351 0.7542 0.2528
Dy 0.3911 0.0737 0.1451
Al 0.0000 0.0000 0.0000
Er 0.7472 0.8649 0.2458
Dy 0.5000 0.5000 0.5000
Er 0.3865 0.8593 0.4977
Er 0.4977 0.3865 0.8593
Er 0.1407 0.5023 0.6135
Er 0.8593 0.4977 0.3865
Dy 0.1451 0.3911 0.0737
Er 0.8649 0.2458 0.7472
Dy 0.0737 0.1451 0.3911
Er 0.7542 0.2528 0.1351
Dy 0.6089 0.9263 0.8549
Dy 0.9263 0.8549 0.6089
Er 0.2458 0.7472 0.8649
Dy 0.8549 0.6089 0.9263
Er 0.6135 0.1407 0.5023
Er 0.2528 0.1351 0.7542

Record 9
Compound: Dy3ErAl
Source: the Alexandria database
Functional: PBE
Structure: optimized geometry

Unit cell a=5.5123 b=5.5123 c=5.5123 alpha=96.56 beta=96.56 gamma=96.56
Fractional coordinates of all 5 atoms:
Dy 0.2692 0.6801 0.2692
Dy 0.2692 0.2692 0.6801
Dy 0.6801 0.2692 0.2692
Er 0.7701 0.7701 0.7701
Al 0.1364 0.1364 0.1364

**Distance to the lowest polymorph of the same formula**: 383 meV per atom

Record 10
Compound: Dy6Er12Al
Source: the Alexandria database
Functional: PBE
Structure: optimized geometry

Unit cell a=8.3503 b=8.3503 c=8.3503 alpha=88.79 beta=88.79 gamma=88.79
Fractional coordinates of all 19 atoms:
Er 0.5639 0.2192 0.4617
Al 0.0000 0.0000 0.0000
Er 0.4361 0.7808 0.5383
Dy 0.7420 0.9054 0.2924
Dy 0.0946 0.7076 0.2580
Er 0.1814 0.3602 0.0143
Dy 0.7076 0.2580 0.0946
Dy 0.2924 0.7420 0.9054
Dy 0.2580 0.0946 0.7076
Dy 0.9054 0.2924 0.7420
Er 0.6398 0.9857 0.8186
Er 0.5383 0.4361 0.7808
Er 0.8186 0.6398 0.9857
Er 0.3602 0.0143 0.1814
Er 0.4617 0.5639 0.2192
Er 0.7808 0.5383 0.4361
Er 0.2192 0.4617 0.5639
Er 0.0143 0.1814 0.3602
Er 0.9857 0.8186 0.6398

Record 11
Compound: Dy3Er4Al4
Source: the Alexandria database
Functional: PBE
Structure: optimized geometry

Unit cell a=5.1064 b=6.7068 c=9.4368 alpha=110.82 beta=105.70 gamma=90.00
Fractional coordinates of all 11 atoms:
Er 0.6801 0.9159 0.3601
Er 0.3199 0.5557 0.6399
Dy 0.8998 0.8998 0.7996
Dy 0.0000 0.5000 0.0000
Al 0.1740 0.6740 0.3479
Er 0.6801 0.4443 0.3601
Al 0.5000 0.7962 0.0000
Al 0.8260 0.3260 0.6521
Er 0.3199 0.0841 0.6399
Al 0.5000 0.2038 0.0000
Dy 0.1002 0.1002 0.2004

Record 12
Compound: DyEr2Al
Source: the Alexandria database
Functional: PBE
Structure: optimized geometry

Unit cell a=5.3128 b=5.3128 c=5.3128 alpha=60.00 beta=60.00 gamma=60.00
Site moments in Bohr magnetons follow the coordinates.
Fractional coordinates of all 4 atoms:
Er 0.7500 0.7500 0.7500  0.09
Dy 0.0000 0.0000 0.0000  0.12
Er 0.2500 0.2500 0.2500  0.09
Al 0.5000 0.5000 0.5000  0.00

**Distance to the lowest polymorph of the same formula**: 165 meV per atom

Record 13
Compound: Dy2Er3Al3
Source: the Alexandria database
Functional: PBE
Structure: optimized geometry

Unit cell a=3.6470 b=5.1101 c=11.1722 alpha=103.22 beta=99.39 gamma=90.00
Fractional coordinates of all 8 atoms:
Er 0.3801 0.3801 0.7602
Er 0.5000 0.0000 0.0000
Al 0.0000 0.5000 0.0000
Al 0.8847 0.8847 0.7694
Dy 0.7303 0.2303 0.4607
Al 0.1153 0.1153 0.2306
Dy 0.2697 0.7697 0.5393
Er 0.6199 0.6199 0.2398

**Distance to the lowest polymorph of the same formula**: 0 meV per atom

Record 14
Compound: DyEr3Al8
Source: the Alexandria database
Functional: PBE
Structure: optimized geometry

Unit cell a=5.5275 b=5.5275 c=9.6161 alpha=73.30 beta=73.30 gamma=60.00
Fractional coordinates of all 12 atoms:
Dy 0.8752 0.8752 0.3745
Al 0.4377 0.9378 0.1869
Er 0.9999 0.9999 0.0003
Al 0.4377 0.4377 0.1869
Er 0.3753 0.3753 0.8741
Er 0.4997 0.4997 0.5010
Al 0.9378 0.4377 0.1869
Al 0.9374 0.9374 0.6881
Al 0.6876 0.6876 0.9373
Al 0.1874 0.1874 0.4377
Al 0.4371 0.9374 0.6881
Al 0.9374 0.4371 0.6881

**Distance to the lowest polymorph of the same formula**: 0 meV per atom

Record 15
Compound: Dy5Er12Al2
Source: the Alexandria database
Functional: PBE
Structure: optimized geometry

Unit cell a=9.2501 b=8.8085 c=8.1533 alpha=91.90 beta=90.00 gamma=121.67
Fractional coordinates of all 19 atoms:
Er 0.5529 0.1058 0.3204
Al 0.6729 0.0000 0.0000
Er 0.1780 0.7480 0.3284
Er 0.6709 0.7131 0.7722
Er 0.5700 0.7480 0.3284
Dy 0.6897 0.3795 0.0124
Er 0.0784 0.1568 0.8783
Dy 0.2328 0.4656 0.5729
Er 0.9216 0.8432 0.1217
Dy 0.3103 0.6205 0.9876
Er 0.0422 0.7131 0.7722
Er 0.4471 0.8942 0.6796
Al 0.3271 0.0000 0.0000
Dy 0.0000 0.0000 0.5000
Dy 0.7672 0.5344 0.4271
Er 0.3291 0.2869 0.2278
Er 0.4300 0.2520 0.6716
Er 0.9578 0.2869 0.2278
Er 0.8220 0.2520 0.6716

Record 16
Compound: Dy3Er3Al2
Source: the Alexandria database
Functional: PBE
Structure: optimized geometry

Unit cell a=5.1084 b=6.3144 c=15.0368 alpha=90.00 beta=90.00 gamma=113.86
Fractional coordinates of all 16 atoms:
Dy 0.4587 0.9174 0.2500
Dy 0.5413 0.0826 0.7500
Dy 0.6492 0.2984 0.0275
Dy 0.3508 0.7016 0.5275
Al 0.7806 0.5611 0.8491
Al 0.7806 0.5611 0.6509
Dy 0.3508 0.7016 0.9725
Al 0.2194 0.4389 0.1509
Al 0.2194 0.4389 0.3491
Er 0.7430 0.4860 0.2500
Dy 0.6492 0.2984 0.4725
Er 0.9624 0.9248 0.1057
Er 0.2570 0.5140 0.7500
Er 0.9624 0.9248 0.3943
Er 0.0376 0.0752 0.8943
Er 0.0376 0.0752 0.6057

Record 17
Compound: Dy2Er3Al2
Source: the Alexandria database
Functional: PBE
Structure: optimized geometry

Unit cell a=5.2375 b=5.2396 c=8.3270 alpha=108.31 beta=90.00 gamma=119.99
Fractional coordinates of all 7 atoms:
Er 0.5000 0.0000 0.0000
Dy 0.9175 0.8350 0.2528
Er 0.3477 0.6954 0.5431
Er 0.6523 0.3046 0.4569
Al 0.7820 0.5639 0.8453
Al 0.2180 0.4361 0.1547
Dy 0.0825 0.1650 0.7472

**Distance to the lowest polymorph of the same formula**: 0 meV per atom

Record 18
Compound: DyEr4Al5
Source: the Alexandria database
Functional: PBE
Structure: optimized geometry

Unit cell a=3.5570 b=3.5570 c=18.0316 alpha=90.00 beta=90.00 gamma=90.00
Fractional coordinates of all 10 atoms:
Er 0.0000 0.0000 0.5994
Al 0.5000 0.5000 0.8977
Al 0.5000 0.5000 0.3010
Er 0.0000 0.0000 0.4006
Er 0.0000 0.0000 0.2016
Al 0.5000 0.5000 0.1023
Al 0.5000 0.5000 0.5000
Al 0.5000 0.5000 0.6990
Dy 0.0000 0.0000 0.0000
Er 0.0000 0.0000 0.7984

Record 19
Compound: Dy15Er4Al
Source: the Alexandria database
Functional: PBE
Structure: optimized geometry

Unit cell a=4.9324 b=4.9324 c=24.9445 alpha=90.00 beta=90.00 gamma=90.00
Fractional coordinates of all 20 atoms:
Dy 0.5000 0.0000 0.0941
Dy 0.0000 0.5000 0.5000
Dy 0.0000 0.5000 0.0941
Dy 0.5000 0.5000 0.8056
Dy 0.5000 0.5000 0.6019
Dy 0.0000 0.5000 0.7029
Er 0.0000 0.0000 0.6012
Er 0.0000 0.0000 0.3988
Al 0.0000 0.0000 0.0000
Er 0.0000 0.0000 0.8037
Dy 0.0000 0.5000 0.9059
Dy 0.5000 0.5000 0.3981
Er 0.0000 0.0000 0.1963
Dy 0.5000 0.0000 0.5000
Dy 0.5000 0.5000 0.1945
Dy 0.5000 0.0000 0.9059
Dy 0.5000 0.5000 0.0000
Dy 0.0000 0.5000 0.2971
Dy 0.5000 0.0000 0.2971
Dy 0.5000 0.0000 0.7029

Record 20
Compound: Dy2Er4Al
Source: the Alexandria database
Functional: PBE
Structure: optimized geometry

Unit cell a=3.5779 b=3.5779 c=18.8168 alpha=84.54 beta=84.54 gamma=60.00
Site moments in Bohr magnetons follow the coordinates.
Fractional coordinates of all 7 atoms:
Er 0.9089 0.9089 0.2732  -0.28
Er 0.7065 0.7065 0.8804  -0.08
Dy 0.1920 0.1920 0.4241  -0.16
Dy 0.8080 0.8080 0.5759  -0.16
Al 0.0000 0.0000 0.0000  0.00
Er 0.0911 0.0911 0.7268  -0.28
Er 0.2935 0.2935 0.1196  -0.08

Number 1: E_form -313.4 meV/atom. Number 2: E_form -130.0 meV/atom. Number 3: E_form -61.9 meV/atom. Number 4: E_form -257.2 meV/atom. Number 5: E_form 477.8 meV/atom. Number 6: E_form 221.6 meV/atom. Number 7: E_form 486.5 meV/atom. Number 8: E_form 189.7 meV/atom. Number 9: E_form 238.1 meV/atom. Number 10: E_form 93.3 meV/atom. Number 11: E_form -185.1 meV/atom. Number 12: E_form -35.6 meV/atom. Number 13: E_form -295.7 meV/atom. Number 14: E_form -511.6 meV/atom. Number 15: E_form 17.7 meV/atom. Number 16: E_form -113.6 meV/atom. Number 17: E_form -209.2 meV/atom. Number 18: E_form -392.6 meV/atom. Number 19: E_form -13.1 meV/atom. Number 20: E_form -42.8 meV/atom.